A plane-wave DFT calculation with PBE-GGA was carried out for crystalline Pr3ScTl2 at its relaxed geometry.

It has space group Ibam (No. 72), with a = 6.714 Å, b = 16.766 Å, c = 6.656 Å, α = 90.00°, β = 90.00° and γ = 90.00°. The asymmetric unit holds Pr at (0.000, 0.000, 0.250), Pr at (0.249, 0.324, 0.000), Sc at (0.000, 0.500, 0.250) and Tl at (0.231, 0.369, 0.500).

A plane-wave DFT calculation with PBE-GGA was carried out for crystalline Pr5ScTl4 at its relaxed geometry.

It has space group P4/mmm (No. 123), with a = 3.783 Å, b = 3.783 Å, c = 21.381 Å, α = 90.00°, β = 90.00° and γ = 90.00°. The asymmetric unit holds Pr at (0.000, 0.000, 0.000), Pr at (0.000, 0.000, 0.200), Pr at (0.000, 0.000, 0.399), Sc at (0.500, 0.500, 0.500), Tl at (0.500, 0.500, 0.101) and Tl at (0.500, 0.500, 0.300).

A plane-wave DFT calculation with PBE-GGA was carried out for crystalline Pr3Sc4Tl4 at its relaxed geometry.

It has space group Immm (No. 71), with a = 4.854 Å, b = 7.861 Å, c = 16.257 Å, α = 90.00°, β = 90.00° and γ = 90.00°. The asymmetric unit holds Pr at (0.000, 0.000, 0.000), Pr at (0.000, 0.500, 0.118), Sc at (0.000, 0.299, 0.326), Tl at (0.000, 0.000, 0.213) and Tl at (0.000, 0.199, 0.500).

A plane-wave DFT calculation with PBE-GGA was carried out for crystalline Pr4ScTl5 at its relaxed geometry.

It has space group P4/mmm (No. 123), with a = 3.779 Å, b = 3.779 Å, c = 20.252 Å, α = 90.00°, β = 90.00° and γ = 90.00°. The asymmetric unit holds Pr at (0.000, 0.000, 0.104), Pr at (0.000, 0.000, 0.313), Sc at (0.000, 0.000, 0.500), Tl at (0.500, 0.500, 0.000), Tl at (0.500, 0.500, 0.209) and Tl at (0.500, 0.500, 0.417).

A plane-wave DFT calculation with PBE-GGA was carried out for crystalline Pr7ScTl4 at its relaxed geometry.

It has space group C2/m (No. 12), with a = 15.294 Å, b = 5.948 Å, c = 10.053 Å, α = 90.00°, β = 121.29° and γ = 90.00°. The asymmetric unit holds Pr at (0.000, 0.000, 0.000), Pr at (0.067, 0.500, 0.400), Pr at (0.198, 0.500, 0.882), Pr at (0.245, 0.000, 0.699), Sc at (0.000, 0.500, 0.000), Tl at (0.046, 0.000, 0.710) and Tl at (0.185, 0.000, 0.340).

A plane-wave DFT calculation with PBE-GGA was carried out for crystalline Pr14ScTl at its relaxed geometry.

It has space group Amm2 (No. 38), with a = 10.408 Å, b = 10.274 Å, c = 10.273 Å, α = 90.00°, β = 90.00° and γ = 90.00°. The asymmetric unit holds Pr at (0.000, 0.000, 0.000), Pr at (0.000, 0.000, 0.499), Pr at (0.000, 0.250, 0.249), Pr at (0.257, 0.000, 0.750), Pr at (0.257, 0.249, 0.000), Pr at (0.258, 0.000, 0.249), Pr at (0.500, 0.249, 0.749), Sc at (0.500, 0.000, 0.000) and Tl at (0.500, 0.000, 0.499).

A plane-wave DFT calculation with PBE-GGA was carried out for crystalline Pr2Sc3Tl4 at its relaxed geometry.

It has space group Cmce (No. 64), with a = 6.832 Å, b = 16.628 Å, c = 8.718 Å, α = 90.00°, β = 90.00° and γ = 90.00°. The asymmetric unit holds Pr at (0.000, 0.110, 0.083), Sc at (0.000, 0.000, 0.500), Sc at (0.250, 0.219, 0.750), Tl at (0.000, 0.182, 0.457) and Tl at (0.250, 0.043, 0.750).

A plane-wave DFT calculation with PBE-GGA was carried out for crystalline Pr2ScTl2 at its relaxed geometry.

It has space group C2/m (No. 12), with a = 12.476 Å, b = 4.785 Å, c = 11.636 Å, α = 90.00°, β = 118.91° and γ = 90.00°. The asymmetric unit holds Pr at (0.014, 0.000, 0.177), Pr at (0.184, 0.000, 0.600), Sc at (0.211, 0.500, 0.866), Tl at (0.031, 0.500, 0.386) and Tl at (0.141, 0.500, 0.078).

A plane-wave DFT calculation with PBE-GGA was carried out for crystalline Pr5ScTl5 at its relaxed geometry.

It has space group C2/m (No. 12), with a = 18.064 Å, b = 5.761 Å, c = 7.277 Å, α = 90.00°, β = 113.50° and γ = 90.00°. The asymmetric unit holds Pr at (0.000, 0.000, 0.000), Pr at (0.142, 0.500, 0.145), Pr at (0.193, 0.500, 0.695), Sc at (0.000, 0.000, 0.500), Tl at (0.000, 0.500, 0.500), Tl at (0.156, 0.000, 0.877) and Tl at (0.157, 0.000, 0.436).

A plane-wave DFT calculation with PBE-GGA was carried out for crystalline PrTmSc2Tl4 at its relaxed geometry.

It has space group R-3m (No. 166, hexagonal axes), with a = 5.2745 Å, b = 5.2745 Å, c = 25.9815 Å, α = 90.00°, β = 90.00° and γ = 120.00°. The asymmetric unit holds Pr at (0.0000, 0.0000, 0.0000), Tm at (0.0000, 0.0000, 0.5000), Sc at (0.0000, 0.0000, 0.2493), Tl at (0.0000, 0.0000, 0.1276) and Tl at (0.0000, 0.0000, 0.3780).

A plane-wave DFT calculation with PBE-GGA was carried out for crystalline PrTm2ScTl2 at its relaxed geometry.

It has space group Pmc2_1 (No. 26), with a = 5.009 Å, b = 9.846 Å, c = 6.823 Å, α = 90.00°, β = 90.00° and γ = 90.00°. The asymmetric unit holds Pr at (0.000, 0.046, 0.000), Tm at (0.000, 0.317, 0.393), Tm at (0.500, 0.453, 0.100), Sc at (0.500, 0.201, 0.719), Tl at (0.000, 0.367, 0.843) and Tl at (0.500, 0.134, 0.278).

A plane-wave DFT calculation with PBE-GGA was carried out for crystalline PrTm2ScTl4 at its relaxed geometry.

It has space group R-3m (No. 166, hexagonal axes), with a = 5.3184 Å, b = 5.3184 Å, c = 26.3146 Å, α = 90.00°, β = 90.00° and γ = 120.00°. The asymmetric unit holds Pr at (0.0000, 0.0000, 0.0000), Tm at (0.0000, 0.0000, 0.2484), Sc at (0.0000, 0.0000, 0.5000), Tl at (0.0000, 0.0000, 0.1283) and Tl at (0.0000, 0.0000, 0.3790).

Number 1: E -4.468 eV per atom, volume 749.35 Å³/cell, ΔE_f -1.4 eV/f.u.. Number 2: E -4.254 eV per atom, volume 306.00 Å³/cell, ΔE_f -2.8 eV/f.u.. Number 3: E -4.723 eV per atom, volume 620.30 Å³/cell, ΔE_f -2.8 eV/f.u.. Number 4: E -4.098 eV per atom, volume 289.19 Å³/cell, ΔE_f -3.7 eV/f.u.. Number 5: E -4.179 eV per atom, volume 781.53 Å³/cell, ΔE_f -0.9 eV/f.u.. Number 6: E -4.750 eV per atom, volume 1098.55 Å³/cell, ΔE_f -0.4 eV/f.u.. Number 7: E -4.486 eV per atom, volume 990.34 Å³/cell, ΔE_f -2.4 eV/f.u.. Number 8: E -4.410 eV per atom, volume 608.03 Å³/cell, ΔE_f -1.4 eV/f.u.. Number 9: E -3.999 eV per atom, volume 694.53 Å³/cell, ΔE_f -1.9 eV/f.u.. Number 10: E -4.205 eV per atom, volume 625.97 Å³/cell, ΔE_f -2.3 eV/f.u.. Number 11: E -4.376 eV per atom, volume 336.50 Å³/cell, ΔE_f -1.5 eV/f.u.. Number 12: E -3.982 eV per atom, volume 644.61 Å³/cell, ΔE_f -2.3 eV/f.u..